Computed, not measured: a geometry-optimized AgAu2 structure at the PBE level of DFT.

Cell: 4.8082 4.8082 2.8486 Å, 90.00 90.00 90.00°
Element x y z (fractional)
Au 0.5000 0.0000 0.5000
Au 0.0000 0.5000 0.5000
Ag 0.0000 0.0000 0.0000

Computed properties:
The value obtained for the polymorph energy (0 for the lowest one) is 240.5 meV/atom. The calculated density comes out at 12.7 Mg/m³. As for the crystal system: tetragonal. The value obtained for the calculated formation energy is 200 meV per atom. The volume is 21.952 Å³ per atom.